The following is a PBE calculation of a geometry-optimized UAlRe2 structure, from the Alexandria database.

Lattice parameters (Å, degrees): 3.5419 4.3542 4.3542 90.00 90.00 90.00
Atoms (fractional coordinates):
Re (0.0000, 0.0000, 0.5000)
Re (0.0000, 0.5000, 0.0000)
U (0.5000, 0.0000, 0.0000)
Al (0.5000, 0.5000, 0.5000)

## Properties
For the total magnetization, the calculation gives 0.0 μB per formula unit. For the volume, the calculation gives 16.79 Å³/atom. Its space group is P4/mmm, No. 123. The total energy is -40.4 eV per cell.